(1)
Density functional theory data (PBE) for crystalline Tb2Pm3Ag3 at its relaxed geometry.

```
Tb2Pm3Ag3
1.0
3.6769 0.0000 -0.5922
-0.2025 5.2292 -1.2575
-0.0423 -0.0182 11.4490
Pm Tb Ag
3 2 3
direct
0.3785 0.3785 0.7570
0.5000 0.0000 0.0000
0.6215 0.6215 0.2430
0.7320 0.2320 0.4639
0.2680 0.7680 0.5361
0.1199 0.1199 0.2397
0.8801 0.8801 0.7603
0.0000 0.5000 0.0000
```

Properties
**Volume**: 220 Å³ per cell

(2)
Density functional theory data (PBE) for crystalline TbPm3Ag3 at its relaxed geometry.

```
TbPm3Ag3
1.0
7.2788 1.4123 0.3911
-1.9783 7.1457 0.3911
-0.3726 -0.6015 7.1146
Ag Pm Tb
6 6 2
direct
0.5134 0.0054 0.2710
0.9946 0.4866 0.7290
0.9320 0.9320 0.1798
0.0054 0.5134 0.2710
0.4866 0.9946 0.7290
0.0680 0.0680 0.8202
0.1789 0.8211 0.5000
0.3626 0.3626 0.6331
0.2683 0.7317 0.0000
0.8211 0.1789 0.5000
0.7317 0.2683 0.0000
0.6374 0.6374 0.3669
0.2548 0.2548 0.1377
0.7452 0.7452 0.8623
```

Properties
**Volume**: 393 Å³ per cell

(3)
Density functional theory data (PBE) for crystalline TbPmAg at its relaxed geometry.

```
TbPmAg
1.0
-2.3539 2.5923 -0.9123
-1.0180 -1.9383 -2.8809
-2.8753 -3.2171 5.4530
Pm Tb Ag
1 1 1
direct
0.3182 0.3182 0.6364
0.0206 0.0206 0.0412
0.6612 0.6612 0.3224
```

Properties
**Offset from the most stable computed form**: 17 meV per atom
**Volume**: 85 Å³ per cell

(4)
Density functional theory data (PBE) for crystalline TbPm3Ag4 at its relaxed geometry.

```
TbPm3Ag4
1.0
3.7021 0.0000 0.0000
0.0000 3.7021 0.0000
0.0000 0.0000 14.9018
Ag Tb Pm
4 1 3
direct
0.0000 0.0000 0.1176
0.0000 0.0000 0.3743
0.0000 0.0000 0.8824
0.0000 0.0000 0.6257
0.5000 0.5000 0.0000
0.5000 0.5000 0.2473
0.5000 0.5000 0.5000
0.5000 0.5000 0.7527
```

Properties
**Volume**: 204 Å³ per cell

(5)
Density functional theory data (PBE) for crystalline Tb3Pm2Ag3 at its relaxed geometry.

```
Tb3Pm2Ag3
1.0
3.6853 0.0000 -0.5935
-0.1993 5.1467 -1.2377
-0.0632 0.0000 11.3461
Ag Tb Pm
3 3 2
direct
0.0000 0.5000 0.0000
0.8858 0.8858 0.7716
0.1142 0.1142 0.2284
0.6186 0.6186 0.2372
0.5000 0.0000 0.0000
0.3814 0.3814 0.7628
0.2689 0.7689 0.5377
0.7311 0.2311 0.4623
```

Properties
**Volume**: 215 Å³ per cell

(6)
Density functional theory data (PBE) for crystalline TbPmAg at its relaxed geometry.

```
TbPmAg
1.0
3.7108 0.0000 0.0000
0.0000 5.1007 0.0000
0.0000 -2.5504 4.4174
Pm Ag Tb
1 1 1
direct
0.0443 0.0000 0.0000
0.3575 0.3333 0.6667
0.5983 0.6667 0.3333
```

Properties
**Offset from the most stable computed form**: 153 meV per atom
**Volume**: 84 Å³ per cell

(7)
Density functional theory data (PBE) for crystalline TbPmAg3 at its relaxed geometry.

```
TbPmAg3
1.0
8.8461 0.0013 0.0011
-0.0010 7.8624 1.2918
-0.0010 2.8611 7.4364
Tb Pm Ag
4 4 12
direct
0.2500 0.0001 0.9999
0.7500 0.9999 0.0001
0.2500 0.5001 0.4999
0.7500 0.4999 0.5001
0.7065 0.4998 0.0002
0.2065 0.0002 0.4998
0.7935 0.9998 0.5002
0.2935 0.5002 0.9998
0.0000 0.1967 0.6966
0.5000 0.7180 0.5805
0.5000 0.9187 0.7824
0.5000 0.3034 0.8033
0.0000 0.2176 0.0813
0.0000 0.5805 0.7180
0.0000 0.7824 0.9187
0.5000 0.6966 0.1967
0.0000 0.8033 0.3034
0.0000 0.4195 0.2820
0.5000 0.2820 0.4195
0.5000 0.0813 0.2176
```

Properties
**Offset from the most stable computed form**: 39 meV per atom
**Volume**: 485 Å³ per cell

(8)
Density functional theory data (PBE) for crystalline TbPm3Ag2 at its relaxed geometry.

```
TbPm3Ag2
1.0
-3.7341 -5.3595 2.8233
6.2245 -4.4362 -0.1888
0.5255 7.1044 5.2134
Pm Ag Tb
6 4 2
direct
0.7748 0.0248 0.5496
0.5000 0.7500 0.0000
0.5000 0.2500 0.0000
0.7748 0.5248 0.5496
0.2252 0.4752 0.4504
0.2252 0.9752 0.4504
0.5554 0.3589 0.7179
0.8375 0.1411 0.2821
0.1625 0.8589 0.7179
0.4446 0.6411 0.2821
0.0000 0.0000 0.0000
0.0000 0.5000 0.0000
```

Properties
**Offset from the most stable computed form**: 223 meV per atom
**Volume**: 387 Å³ per cell

no.,calculated density (g cm⁻³),calculated formation energy (meV/atom)
1,8.1,-195
2,7.8,-122
3,8.1,-159
4,8.3,-283
5,8.4,-196
6,8.2,-23
7,8.6,-219
8,6.9,59